# 1
Material: LaSc2Pt
Method: DFT, PBE
State: relaxed

```
data_LaSc2Pt
_chemical_formula_sum 'La3 Sc6 Pt3'
_cell_length_a 4.5487
_cell_length_b 4.5487
_cell_length_c 17.9748
_cell_angle_alpha 90.00
_cell_angle_beta 90.00
_cell_angle_gamma 120.00
_symmetry_space_group_name_H-M 'R 3 m'
_symmetry_Int_Tables_number 160
_symmetry_space_group_name_Hall 'R 3 -2"'
loop_
_atom_site_label
_atom_site_type_symbol
_atom_site_fract_x
_atom_site_fract_y
_atom_site_fract_z
La1 La 0.0000 0.0000 0.0000
Sc1 Sc 0.0000 0.0000 0.2088
Sc2 Sc 0.0000 0.0000 0.4512
Pt1 Pt 0.0000 0.0000 0.8235
```

Values from the calculation:
DFT total energy = -6.449 eV/atom

---

# 2
Material: La2ScPt
Method: DFT, PBE
State: relaxed

```
data_La2ScPt
_chemical_formula_sum 'La6 Sc3 Pt3'
_cell_length_a 3.9023
_cell_length_b 3.9023
_cell_length_c 27.7012
_cell_angle_alpha 90.00
_cell_angle_beta 90.00
_cell_angle_gamma 120.00
_symmetry_space_group_name_H-M 'R -3 m'
_symmetry_Int_Tables_number 166
_symmetry_space_group_name_Hall '-R 3 2"'
loop_
_atom_site_label
_atom_site_type_symbol
_atom_site_fract_x
_atom_site_fract_y
_atom_site_fract_z
La1 La 0.0000 0.0000 0.2346
Sc1 Sc 0.0000 0.0000 0.0000
Pt1 Pt 0.0000 0.0000 0.5000
```

Values from the calculation:
E above lowest polymorph = 0.66 eV/f.u.

---

# 3
Material: LaSc2Pt2
Method: DFT, PBE
State: relaxed

```
data_LaSc2Pt2
_chemical_formula_sum 'La2 Sc4 Pt4'
_cell_length_a 4.9655
_cell_length_b 4.9655
_cell_length_c 9.9537
_cell_angle_alpha 90.00
_cell_angle_beta 90.00
_cell_angle_gamma 90.00
_symmetry_space_group_name_H-M 'I 4/m m m'
_symmetry_Int_Tables_number 139
_symmetry_space_group_name_Hall '-I 4 2'
loop_
_atom_site_label
_atom_site_type_symbol
_atom_site_fract_x
_atom_site_fract_y
_atom_site_fract_z
La1 La 0.0000 0.0000 0.0000
Sc1 Sc 0.0000 0.0000 0.3424
Pt1 Pt 0.0000 0.5000 0.2500
```

Values from the calculation:
E above lowest polymorph = 1.40 eV/f.u.

---

# 4
Material: LaScPt
Method: DFT, PBE
State: relaxed

```
data_LaScPt
_chemical_formula_sum 'La1 Sc1 Pt1'
_cell_length_a 4.5302
_cell_length_b 4.5302
_cell_length_c 4.3792
_cell_angle_alpha 90.00
_cell_angle_beta 90.00
_cell_angle_gamma 120.00
_symmetry_space_group_name_H-M 'P 3 m 1'
_symmetry_Int_Tables_number 156
loop_
_symmetry_equiv_pos_as_xyz
'x,y,z'
'-y,x-y,z'
'-x+y,-x,z'
'-y,-x,z'
'-x+y,y,z'
'x,x-y,z'
loop_
_atom_site_label
_atom_site_type_symbol
_atom_site_fract_x
_atom_site_fract_y
_atom_site_fract_z
La1 La 0.0000 0.0000 0.0000
Sc1 Sc 0.3333 0.6667 0.5050
Pt1 Pt 0.6667 0.3333 0.3971
```

Values from the calculation:
E above lowest polymorph = 0.64 eV/f.u.

---

# 5
Material: La2ScPt
Method: DFT, PBE
State: relaxed

```
data_La2ScPt
_chemical_formula_sum 'La4 Sc2 Pt2'
_cell_length_a 12.3612
_cell_length_b 3.7000
_cell_length_c 5.3795
_cell_angle_alpha 90.00
_cell_angle_beta 115.78
_cell_angle_gamma 90.00
_symmetry_space_group_name_H-M 'C 1 m 1'
_symmetry_Int_Tables_number 8
loop_
_symmetry_equiv_pos_as_xyz
'x,y,z'
'x,-y,z'
'x+1/2,y+1/2,z'
'x+1/2,-y+1/2,z'
loop_
_atom_site_label
_atom_site_type_symbol
_atom_site_fract_x
_atom_site_fract_y
_atom_site_fract_z
La1 La 0.0000 0.0000 0.0000
La2 La 0.2041 0.0000 0.7045
Sc1 Sc 0.4020 0.0000 0.4020
Pt1 Pt 0.2262 0.5000 0.2272
```

Values from the calculation:
E above lowest polymorph = 0.06 eV/f.u.

---

# 6
Material: La2ScPt
Method: DFT, PBE
State: relaxed

```
data_La2ScPt
_chemical_formula_sum 'La2 Sc1 Pt1'
_cell_length_a 3.7852
_cell_length_b 5.0337
_cell_length_c 5.2884
_cell_angle_alpha 90.00
_cell_angle_beta 90.00
_cell_angle_gamma 90.00
_symmetry_space_group_name_H-M 'P m m m'
_symmetry_Int_Tables_number 47
loop_
_symmetry_equiv_pos_as_xyz
'x,y,z'
'-x,-y,-z'
'-x,-y,z'
'x,y,-z'
'x,-y,-z'
'-x,y,z'
'-x,y,-z'
'x,-y,z'
loop_
_atom_site_label
_atom_site_type_symbol
_atom_site_fract_x
_atom_site_fract_y
_atom_site_fract_z
La1 La 0.0000 0.0000 0.0000
La2 La 0.5000 0.0000 0.5000
Sc1 Sc 0.0000 0.5000 0.5000
Pt1 Pt 0.5000 0.5000 0.0000
```

Values from the calculation:
E above lowest polymorph = 1.10 eV/f.u.

---

# 7
Material: La4ScPt
Method: DFT, PBE
State: relaxed

```
data_La4ScPt
_chemical_formula_sum 'La16 Sc4 Pt4'
_cell_length_a 8.9617
_cell_length_b 8.9617
_cell_length_c 8.9617
_cell_angle_alpha 90.00
_cell_angle_beta 90.00
_cell_angle_gamma 90.00
_symmetry_space_group_name_H-M 'F -4 3 m'
_symmetry_Int_Tables_number 216
_symmetry_space_group_name_Hall 'F -4 2 3'
loop_
_atom_site_label
_atom_site_type_symbol
_atom_site_fract_x
_atom_site_fract_y
_atom_site_fract_z
La1 La 0.1236 0.1236 0.1236
Sc1 Sc 0.0000 0.0000 0.5000
Pt1 Pt 0.2500 0.2500 0.7500
```

Values from the calculation:
DFT total energy = -4.979 eV/atom

---

# 8
Material: LaSc2Pt2
Method: DFT, PBE
State: relaxed

```
data_LaSc2Pt2
_chemical_formula_sum 'La2 Sc4 Pt4'
_cell_length_a 4.4437
_cell_length_b 4.4437
_cell_length_c 11.6799
_cell_angle_alpha 90.00
_cell_angle_beta 90.00
_cell_angle_gamma 90.00
_symmetry_space_group_name_H-M 'I 4/m m m'
_symmetry_Int_Tables_number 139
_symmetry_space_group_name_Hall '-I 4 2'
loop_
_atom_site_label
_atom_site_type_symbol
_atom_site_fract_x
_atom_site_fract_y
_atom_site_fract_z
La1 La 0.0000 0.0000 0.0000
Sc1 Sc 0.0000 0.5000 0.2500
Pt1 Pt 0.0000 0.0000 0.3832
```

Values from the calculation:
E above lowest polymorph = 0.00 eV/f.u.

---

# 9
Material: LaSc2Pt2
Method: DFT, PBE
State: relaxed

```
data_LaSc2Pt2
_chemical_formula_sum 'La2 Sc4 Pt4'
_cell_length_a 8.2591
_cell_length_b 8.2591
_cell_length_c 3.0218
_cell_angle_alpha 90.00
_cell_angle_beta 90.00
_cell_angle_gamma 90.00
_symmetry_space_group_name_H-M 'P 4/m b m'
_symmetry_Int_Tables_number 127
_symmetry_space_group_name_Hall '-P 4 2ab'
loop_
_atom_site_label
_atom_site_type_symbol
_atom_site_fract_x
_atom_site_fract_y
_atom_site_fract_z
La1 La 0.0000 0.0000 0.0000
Sc1 Sc 0.1361 0.3639 0.0000
Pt1 Pt 0.1580 0.6580 0.5000
```

Values from the calculation:
E above lowest polymorph = 0.70 eV/f.u.

---

# 10
Material: La2ScPt
Method: DFT, PBE
State: relaxed

```
data_La2ScPt
_chemical_formula_sum 'La2 Sc1 Pt1'
_cell_length_a 3.8134
_cell_length_b 3.8134
_cell_length_c 7.5926
_cell_angle_alpha 90.00
_cell_angle_beta 90.00
_cell_angle_gamma 90.00
_symmetry_space_group_name_H-M 'P 4/m m m'
_symmetry_Int_Tables_number 123
_symmetry_space_group_name_Hall '-P 4 2'
loop_
_atom_site_label
_atom_site_type_symbol
_atom_site_fract_x
_atom_site_fract_y
_atom_site_fract_z
La1 La 0.0000 0.0000 0.2176
Sc1 Sc 0.5000 0.5000 0.5000
Pt1 Pt 0.5000 0.5000 0.0000
```

Values from the calculation:
E above lowest polymorph = 0.34 eV/f.u.

---

# 11
Material: La2ScPt2
Method: DFT, PBE
State: relaxed

```
data_La2ScPt2
_chemical_formula_sum 'La4 Sc2 Pt4'
_cell_length_a 7.7218
_cell_length_b 7.7218
_cell_length_c 4.2017
_cell_angle_alpha 90.00
_cell_angle_beta 90.00
_cell_angle_gamma 90.00
_symmetry_space_group_name_H-M 'P 4/m b m'
_symmetry_Int_Tables_number 127
_symmetry_space_group_name_Hall '-P 4 2ab'
loop_
_atom_site_label
_atom_site_type_symbol
_atom_site_fract_x
_atom_site_fract_y
_atom_site_fract_z
La1 La 0.1669 0.3331 0.0000
Sc1 Sc 0.0000 0.0000 0.5000
Pt1 Pt 0.1413 0.6413 0.5000
```

Values from the calculation:
E above lowest polymorph = 0.00 eV/f.u.

---

# 12
Material: La2ScPt
Method: DFT, PBE
State: relaxed

```
data_La2ScPt
_chemical_formula_sum 'La2 Sc1 Pt1'
_cell_length_a 3.5178
_cell_length_b 3.5178
_cell_length_c 8.9512
_cell_angle_alpha 90.00
_cell_angle_beta 90.00
_cell_angle_gamma 90.00
_symmetry_space_group_name_H-M 'P 4 m m'
_symmetry_Int_Tables_number 99
loop_
_symmetry_equiv_pos_as_xyz
'x,y,z'
'-y,x,z'
'-x,-y,z'
'y,-x,z'
'-x,y,z'
'y,x,z'
'x,-y,z'
'-y,-x,z'
loop_
_atom_site_label
_atom_site_type_symbol
_atom_site_fract_x
_atom_site_fract_y
_atom_site_fract_z
La1 La 0.0000 0.0000 0.0000
La2 La 0.5000 0.5000 0.3411
Sc1 Sc 0.5000 0.5000 0.7077
Pt1 Pt 0.0000 0.0000 0.5644
```

Values from the calculation:
E above lowest polymorph = 0.09 eV/f.u.